DFT (PBE-GGA) results for a relaxed structure of EuAl3Ru.

Summary:
**Magnetic moment**: 7.5 μB per cell
**Calculated density**: 5.22 Mg/m³
**N(E_F)**: 7.2 states/eV/cell
**Final energy**: -6.591 eV/atom

a b c (Å): 4.737 4.737 4.737
angles (deg): 90.00 90.00 90.00
Fractional coordinates of all 5 atoms:
Eu 0.000 0.000 0.000
Al 0.000 0.500 0.500
Al 0.500 0.000 0.500
Al 0.500 0.500 0.000
Ru 0.500 0.500 0.500